# 1
Compound: ThMoS2
Source: Alexandria via LeMat-Bulk
Functional: PBE
Structure: relaxed

Cell and atoms, written as POSCAR:
```
ThMoS2
1.0
-1.018 -2.896 -1.126
1.927 -1.756 -1.973
3.920 -5.596 6.102
Th S Mo
1 2 1
direct
0.000 0.000 0.000 Th
0.108 0.108 0.677 S
0.892 0.892 0.323 S
0.500 0.500 0.500 Mo
```

total moment	0.10	μB/cell
crystal system	trigonal
E_form (uncorrected)	-1.861	eV per formula unit
SG	No. 166

***

# 2
Compound: ThMo6S8
Source: Alexandria via LeMat-Bulk
Functional: PBE
Structure: relaxed

Cell and atoms, written as POSCAR:
```
ThMo6S8
1.0
-2.978 3.829 -4.345
-5.748 -0.941 2.912
0.910 5.223 3.781
S Mo Th
8 6 1
direct
0.632 0.873 0.246 S
0.758 0.758 0.758 S
0.368 0.127 0.754 S
0.127 0.754 0.368 S
0.242 0.242 0.242 S
0.754 0.368 0.127 S
0.873 0.246 0.632 S
0.246 0.632 0.873 S
0.578 0.438 0.776 Mo
0.438 0.776 0.578 Mo
0.776 0.578 0.438 Mo
0.224 0.422 0.562 Mo
0.562 0.224 0.422 Mo
0.422 0.562 0.224 Mo
0.000 0.000 0.000 Th
```

total moment	0.00	μB/cell
crystal system	trigonal
E_form (uncorrected)	-14.055	eV per formula unit
SG	No. 148

***

# 3
Compound: ThMoS
Source: Alexandria via LeMat-Bulk
Functional: PBE
Structure: relaxed

Cell and atoms, written as POSCAR:
```
ThMoS
1.0
3.824 0.000 0.000
0.000 3.824 0.000
0.000 0.000 8.791
Mo S Th
2 2 2
direct
0.000 0.500 0.071 Mo
0.500 0.000 0.929 Mo
0.000 0.500 0.357 S
0.500 0.000 0.643 S
0.000 0.500 0.698 Th
0.500 0.000 0.302 Th
```

total moment	0.00	μB/cell
crystal system	tetragonal
E_form (uncorrected)	-2.224	eV per formula unit
SG	No. 129

***

# 4
Compound: Ti3MoS4
Source: Alexandria via LeMat-Bulk
Functional: PBE
Structure: relaxed

Cell and atoms, written as POSCAR:
```
Ti3MoS4
1.0
-2.517 -4.015 -3.668
3.023 -3.239 1.470
-5.929 -2.463 6.765
Ti S Mo
6 8 2
direct
0.509 0.253 0.262 Ti
0.509 0.253 0.738 Ti
0.593 0.755 0.000 Ti
0.093 0.245 0.500 Ti
0.009 0.747 0.238 Ti
0.009 0.747 0.762 Ti
0.621 0.752 0.733 S
0.621 0.752 0.267 S
0.556 0.255 0.000 S
0.056 0.745 0.500 S
0.121 0.248 0.233 S
0.121 0.248 0.767 S
0.661 0.245 0.500 S
0.161 0.755 0.000 S
0.445 0.755 0.500 Mo
0.945 0.245 0.000 Mo
```

total moment	0.00	μB/cell
crystal system	orthorhombic
E_form (uncorrected)	-7.478	eV per formula unit
SG	No. 31

***

# 5
Compound: TiMo3S
Source: Alexandria via LeMat-Bulk
Functional: PBE
Structure: relaxed

Cell and atoms, written as POSCAR:
```
TiMo3S
1.0
4.423 0.000 0.000
0.000 4.423 0.000
0.000 0.000 4.423
Mo S Ti
3 1 1
direct
0.000 0.500 0.000 Mo
0.500 0.000 0.000 Mo
0.000 0.000 0.500 Mo
0.000 0.000 0.000 S
0.500 0.500 0.500 Ti
```

total moment	0.00	μB/cell
crystal system	cubic
ΔE to the lowest computed polymorph	0	meV/atom
E_form (uncorrected)	1.755	eV per formula unit
SG	No. 221

***

# 6
Compound: Ti2MoS4
Source: Alexandria via LeMat-Bulk
Functional: PBE
Structure: relaxed

Cell and atoms, written as POSCAR:
```
Ti2MoS4
1.0
3.275 0.000 0.000
-1.637 5.810 0.000
0.000 0.000 12.254
S Mo Ti
8 2 4
direct
0.500 0.000 0.500 S
0.025 0.050 0.750 S
0.230 0.460 0.603 S
0.770 0.540 0.103 S
0.770 0.540 0.397 S
0.500 0.000 0.000 S
0.975 0.950 0.250 S
0.230 0.460 0.897 S
0.697 0.394 0.750 Mo
0.303 0.606 0.250 Mo
0.112 0.224 0.398 Ti
0.888 0.776 0.898 Ti
0.112 0.224 0.102 Ti
0.888 0.776 0.602 Ti
```

total moment	0.01	μB/cell
crystal system	orthorhombic
E_form (uncorrected)	-6.376	eV per formula unit
SG	No. 63

***

# 7
Compound: Ti2Mo2S7
Source: Alexandria via LeMat-Bulk
Functional: PBE
Structure: relaxed

Cell and atoms, written as POSCAR:
```
Ti2Mo2S7
1.0
3.272 0.000 0.000
1.636 7.775 0.054
1.636 3.734 6.820
Ti S Mo
2 7 2
direct
0.246 0.345 0.163 Ti
0.754 0.837 0.655 Ti
0.144 0.148 0.563 S
0.398 0.694 0.510 S
0.856 0.437 0.852 S
0.181 0.713 0.925 S
0.500 0.013 0.987 S
0.819 0.075 0.287 S
0.602 0.490 0.306 S
0.500 0.302 0.698 Mo
0.000 0.801 0.199 Mo
```

total moment	0.00	μB/cell
crystal system	orthorhombic
E_form (uncorrected)	-7.409	eV per formula unit
SG	No. 44

***

# 8
Compound: TiMo3S
Source: Alexandria via LeMat-Bulk
Functional: PBE
Structure: relaxed

Cell and atoms, written as POSCAR:
```
TiMo3S
1.0
4.600 0.000 0.000
0.000 4.600 0.000
0.000 0.000 4.600
Mo S Ti
3 1 1
direct
0.000 0.000 0.500 Mo
0.000 0.500 0.000 Mo
0.500 0.000 0.000 Mo
0.500 0.500 0.500 S
0.000 0.000 0.000 Ti
```

total moment	0.00	μB/cell
crystal system	cubic
ΔE to the lowest computed polymorph	1408	meV/atom
E_form (uncorrected)	8.793	eV per formula unit
SG	No. 221

***

Please write out number 4 again, unchanged.
Compound: Ti3MoS4
Source: Alexandria via LeMat-Bulk
Functional: PBE
Structure: relaxed

Cell and atoms, written as POSCAR:
```
Ti3MoS4
1.0
-2.517 -4.015 -3.668
3.023 -3.239 1.470
-5.929 -2.463 6.765
Ti S Mo
6 8 2
direct
0.509 0.253 0.262 Ti
0.509 0.253 0.738 Ti
0.593 0.755 0.000 Ti
0.093 0.245 0.500 Ti
0.009 0.747 0.238 Ti
0.009 0.747 0.762 Ti
0.621 0.752 0.733 S
0.621 0.752 0.267 S
0.556 0.255 0.000 S
0.056 0.745 0.500 S
0.121 0.248 0.233 S
0.121 0.248 0.767 S
0.661 0.245 0.500 S
0.161 0.755 0.000 S
0.445 0.755 0.500 Mo
0.945 0.245 0.000 Mo
```

total moment	0.00	μB/cell
crystal system	orthorhombic
E_form (uncorrected)	-7.478	eV per formula unit
SG	No. 31